1.
An optimized crystal structure of Ca2CuSi, computed with PBE.

Cell lengths 7.885, 7.885, 6.442 Å; angles 52.27, 52.27, 90.00 degrees
Element x y z (fractional)
Ca1 0.118 0.625 0.250
Ca2 0.375 0.368 0.750
Ca3 0.875 0.882 0.750
Ca4 0.632 0.125 0.250
Si1 0.500 0.500 0.000
Si2 0.250 0.750 0.500
Cu1 0.750 0.250 0.500
Cu2 0.000 0.000 0.000

***

2.
An optimized crystal structure of LaTa2Cl, computed with PBE.

Cell lengths 9.369, 9.369, 9.369 Å; angles 20.75, 20.75, 20.75 degrees
Element x y z (fractional)
Ta1 0.252 0.252 0.252
Ta2 0.987 0.987 0.987
Cl1 0.513 0.513 0.513
La1 0.748 0.748 0.748

Calculated values
energy relative to the lowest polymorph listed for this composition: 168 meV per atom

***

3.
An optimized crystal structure of Y2Ni2Ir, computed with PBE.

Cell lengths 5.296, 5.175, 7.975 Å; angles 101.73, 90.00, 120.77 degrees
Element x y z (fractional)
Ir1 0.838 0.000 0.250
Ir2 0.162 0.000 0.750
Ni1 0.004 0.259 0.999
Ni2 0.745 0.741 0.501
Ni3 0.255 0.259 0.499
Ni4 0.996 0.741 0.001
Y1 0.220 0.700 0.348
Y2 0.480 0.700 0.848
Y3 0.780 0.300 0.652
Y4 0.520 0.300 0.152

Calculated values
energy relative to the lowest polymorph listed for this composition: 0 meV per atom
calculated formation energy: -0.557 eV/atom

***

4.
An optimized crystal structure of Cs2NbTcBr6, computed with PBE.

Cell lengths 7.813, 7.813, 7.814 Å; angles 60.00, 60.00, 90.00 degrees
Element x y z (fractional)
Br1 0.748 0.252 0.000
Br2 0.252 0.748 0.000
Br3 0.747 0.747 0.505
Br4 0.252 0.252 0.000
Br5 0.253 0.253 0.495
Br6 0.748 0.748 0.000
Cs1 0.750 0.250 0.500
Cs2 0.250 0.750 0.500
Nb1 0.500 0.500 0.000
Tc1 0.000 0.000 0.000

***

5.
An optimized crystal structure of AgRhSN2, computed with PBE.

Cell lengths 3.766, 3.766, 5.466 Å; angles 90.00, 90.00, 90.00 degrees
Element x y z (fractional)
Rh1 0.000 0.000 0.000
Ag1 0.500 0.500 0.500
N1 0.000 0.500 0.000
N2 0.500 0.000 0.000
S1 0.000 0.000 0.500

Calculated values
energy relative to the lowest polymorph listed for this composition: 0 meV per atom

***

6.
An optimized crystal structure of Li6SiSn, computed with PBE.

Cell lengths 6.852, 7.635, 5.109 Å; angles 41.58, 48.16, 55.72 degrees
Element x y z (fractional)
Li1 0.469 0.260 0.291
Li2 0.261 0.017 0.250
Li3 0.981 0.470 0.810
Li4 0.739 0.983 0.750
Li5 0.531 0.740 0.709
Li6 0.019 0.530 0.190
Si1 0.500 0.500 0.500
Sn1 0.000 0.000 0.000

***

7.
An optimized crystal structure of Pu2PaOs, computed with PBE.

Cell lengths 3.461, 3.461, 7.068 Å; angles 90.00, 90.00, 90.00 degrees
Element x y z (fractional)
Pa1 0.500 0.500 0.000
Os1 0.500 0.500 0.500
Pu1 0.000 0.000 0.722
Pu2 0.000 0.000 0.278

Calculated values
energy relative to the lowest polymorph listed for this composition: 0 meV per atom
calculated formation energy: 0.021 eV/atom

***

8.
An optimized crystal structure of Zr2InCu, computed with PBE.

Cell lengths 3.244, 3.968, 6.347 Å; angles 90.00, 90.00, 90.00 degrees
Element x y z (fractional)
Cu1 0.000 0.000 0.496
Zr1 0.500 0.500 0.268
Zr2 0.000 0.000 0.999
In1 0.500 0.500 0.737

Calculated values
calculated formation energy: -0.046 eV/atom

***

9.
An optimized crystal structure of TaIr3Cl, computed with PBE.

Cell lengths 4.414, 4.414, 4.414 Å; angles 90.00, 90.00, 90.00 degrees
Element x y z (fractional)
Ir1 0.000 0.500 0.000
Ir2 0.000 0.000 0.500
Ir3 0.500 0.000 0.000
Ta1 0.500 0.500 0.500
Cl1 0.000 0.000 0.000

Calculated values
energy relative to the lowest polymorph listed for this composition: 0 meV per atom

***

10.
An optimized crystal structure of ZrSb2Rh, computed with PBE.

Cell lengths 3.784, 3.784, 5.907 Å; angles 90.00, 90.00, 90.00 degrees
Element x y z (fractional)
Sb1 0.500 0.500 0.287
Sb2 0.000 0.000 0.949
Rh1 0.500 0.500 0.799
Zr1 0.000 0.000 0.464

***

11.
An optimized crystal structure of AcGdCd2, computed with PBE.

Cell lengths 3.911, 3.911, 7.904 Å; angles 90.00, 90.00, 90.00 degrees
Element x y z (fractional)
Cd1 0.000 0.000 0.219
Cd2 0.000 0.000 0.781
Gd1 0.500 0.500 0.000
Ac1 0.500 0.500 0.500

Calculated values
calculated formation energy: -0.309 eV/atom

***

12.
An optimized crystal structure of ZnCoRu2, computed with PBE.

Cell lengths 2.685, 2.685, 8.645 Å; angles 81.07, 81.07, 60.00 degrees
Element x y z (fractional)
Zn1 0.500 0.500 0.500
Co1 0.667 0.667 0.000
Ru1 0.254 0.254 0.239
Ru2 0.080 0.080 0.761

Calculated values
calculated formation energy: 0.140 eV/atom

***

13.
An optimized crystal structure of Mg2NbHgCl, computed with PBE.

Cell lengths 5.609, 4.680, 5.609 Å; angles 90.00, 90.00, 90.00 degrees
Element x y z (fractional)
Nb1 0.000 0.000 0.000
Cl1 0.000 0.500 0.000
Mg1 0.000 0.000 0.500
Mg2 0.500 0.000 0.000
Hg1 0.500 0.500 0.500

***

14.
An optimized crystal structure of Rb3Zn4Sb4, computed with PBE.

Cell lengths 7.598, 7.598, 7.598 Å; angles 109.47, 109.47, 109.47 degrees
Element x y z (fractional)
Sb1 0.000 0.666 0.000
Sb2 0.666 0.000 0.000
Sb3 0.334 0.334 0.334
Sb4 0.000 0.000 0.666
Rb1 0.500 0.000 0.500
Rb2 0.000 0.500 0.500
Rb3 0.500 0.500 0.000
Zn1 0.000 0.302 0.000
Zn2 0.698 0.698 0.698
Zn3 0.302 0.000 0.000
Zn4 0.000 0.000 0.302

***

15.
An optimized crystal structure of Ca2Cu2Ir, computed with PBE.

Cell lengths 5.472, 5.472, 5.284 Å; angles 58.82, 58.82, 90.00 degrees
Element x y z (fractional)
Ca1 0.750 0.250 0.500
Ca2 0.250 0.750 0.500
Cu1 0.658 0.658 0.684
Cu2 0.342 0.342 0.316
Ir1 0.000 0.000 0.000

Calculated values
energy relative to the lowest polymorph listed for this composition: 287 meV per atom
calculated formation energy: 0.066 eV/atom

***

16.
An optimized crystal structure of LaOsOF2, computed with PBE.

Cell lengths 4.714, 4.714, 4.674 Å; angles 90.00, 90.00, 90.00 degrees
Element x y z (fractional)
F1 0.500 0.000 0.000
F2 0.000 0.500 0.000
O1 0.000 0.000 0.500
Os1 0.500 0.500 0.500
La1 0.000 0.000 0.000

Calculated values
energy relative to the lowest polymorph listed for this composition: 123 meV per atom

***

17.
An optimized crystal structure of MnGaMoP, computed with PBE.

Cell lengths 3.069, 3.300, 5.636 Å; angles 90.00, 105.77, 90.00 degrees
Element x y z (fractional)
Mo1 0.968 0.500 0.737
Mn1 0.695 0.500 0.192
Ga1 0.307 0.000 0.416
P1 0.558 0.000 0.918

Calculated values
energy relative to the lowest polymorph listed for this composition: 0 meV per atom
calculated formation energy: -0.263 eV/atom

***

18.
An optimized crystal structure of Sm2CoSi, computed with PBE.

Cell lengths 3.431, 3.431, 9.586 Å; angles 79.69, 79.69, 60.00 degrees
Element x y z (fractional)
Sm1 0.089 0.089 0.733
Sm2 0.911 0.911 0.267
Co1 0.000 0.000 0.000
Si1 0.500 0.500 0.500

Calculated values
energy relative to the lowest polymorph listed for this composition: 872 meV per atom

***

19.
An optimized crystal structure of Na2Pa3S8, computed with PBE.

Cell lengths 6.971, 8.160, 7.974 Å; angles 120.77, 104.07, 90.00 degrees
Element x y z (fractional)
S1 0.107 0.896 0.791
S2 0.620 0.665 0.782
S3 0.620 0.117 0.782
S4 0.931 0.611 0.222
S5 0.893 0.104 0.209
S6 0.380 0.883 0.218
S7 0.069 0.389 0.778
S8 0.380 0.335 0.218
Na1 0.377 0.282 0.564
Na2 0.623 0.718 0.436
Pa1 0.000 0.743 0.000
Pa2 0.000 0.257 0.000
Pa3 0.500 0.000 0.000

***

20.
An optimized crystal structure of LaCeTlAg, computed with PBE.

Cell lengths 5.477, 5.477, 5.477 Å; angles 60.00, 60.00, 60.00 degrees
Element x y z (fractional)
La1 0.000 0.000 0.000
Ce1 0.500 0.500 0.500
Ag1 0.250 0.250 0.250
Tl1 0.750 0.750 0.750

Calculated values
energy relative to the lowest polymorph listed for this composition: 9 meV per atom
calculated formation energy: -0.221 eV/atom

***

21.
An optimized crystal structure of Hf2GaPd, computed with PBE.

Cell lengths 3.083, 3.083, 7.679 Å; angles 90.00, 90.00, 90.00 degrees
Element x y z (fractional)
Hf1 0.000 0.000 0.746
Hf2 0.000 0.000 0.254
Ga1 0.500 0.500 0.000
Pd1 0.500 0.500 0.500

Calculated values
calculated formation energy: -0.513 eV/atom

***

22.
An optimized crystal structure of Cs2TeF7, computed with PBE.

Cell lengths 7.379, 8.422, 8.780 Å; angles 75.62, 65.15, 64.02 degrees
Element x y z (fractional)
F1 0.231 0.824 0.006
F2 0.754 0.838 0.377
F3 0.969 0.662 0.123
F4 0.246 0.162 0.623
F5 0.031 0.338 0.877
F6 0.633 0.250 0.750
F7 0.367 0.750 0.250
F8 0.939 0.324 0.506
F9 0.292 0.493 0.219
F10 0.061 0.676 0.494
F11 0.004 0.007 0.281
F12 0.769 0.176 0.994
F13 0.996 0.993 0.719
F14 0.708 0.507 0.781
Te1 0.909 0.250 0.750
Te2 0.091 0.750 0.250
Cs1 0.612 0.908 0.736
Cs2 0.388 0.092 0.264
Cs3 0.744 0.408 0.236
Cs4 0.256 0.592 0.764

Calculated values
energy relative to the lowest polymorph listed for this composition: 0 meV per atom

***

23.
An optimized crystal structure of LiSi2Hg, computed with PBE.

Cell lengths 3.822, 2.835, 6.789 Å; angles 89.94, 90.00, 90.00 degrees
Element x y z (fractional)
Si1 0.000 0.250 0.984
Si2 0.500 0.249 0.195
Hg1 0.000 0.251 0.526
Li1 0.500 0.750 0.795

***

24.
An optimized crystal structure of Mg4TePt, computed with PBE.

Cell lengths 5.648, 5.648, 5.648 Å; angles 60.00, 60.00, 60.00 degrees
Element x y z (fractional)
Mg1 0.376 0.376 0.376
Mg2 0.873 0.376 0.376
Mg3 0.376 0.376 0.873
Mg4 0.376 0.873 0.376
Te1 0.000 0.000 0.000
Pt1 0.750 0.750 0.750

***

25.
An optimized crystal structure of PaBrCl3, computed with PBE.

Cell lengths 6.483, 9.483, 8.770 Å; angles 90.00, 90.00, 90.00 degrees
Element x y z (fractional)
Cl1 0.273 0.750 0.019
Cl2 0.671 0.467 0.698
Cl3 0.727 0.250 0.981
Cl4 0.227 0.250 0.519
Cl5 0.671 0.033 0.698
Cl6 0.329 0.967 0.302
Cl7 0.171 0.467 0.802
Cl8 0.329 0.533 0.302
Cl9 0.773 0.750 0.481
Cl10 0.829 0.533 0.198
Cl11 0.171 0.033 0.802
Cl12 0.829 0.967 0.198
Br1 0.261 0.250 0.093
Br2 0.239 0.750 0.593
Br3 0.739 0.750 0.907
Br4 0.761 0.250 0.407
Pa1 0.000 0.500 0.500
Pa2 0.500 0.500 0.000
Pa3 0.000 0.000 0.500
Pa4 0.500 0.000 0.000

Calculated values
energy relative to the lowest polymorph listed for this composition: 0 meV per atom

***

26.
An optimized crystal structure of Sm5TmCu6, computed with PBE.

Cell lengths 5.005, 6.997, 8.658 Å; angles 66.14, 73.12, 90.00 degrees
Element x y z (fractional)
Cu1 0.500 0.763 0.000
Cu2 0.836 0.595 0.325
Cu3 0.500 0.237 0.000
Cu4 0.163 0.920 0.675
Cu5 0.837 0.080 0.325
Cu6 0.164 0.405 0.675
Sm1 0.666 0.666 0.667
Sm2 0.334 0.334 0.333
Sm3 0.333 0.833 0.334
Sm4 0.667 0.167 0.666
Sm5 0.000 0.500 0.000
Tm1 0.000 0.000 0.000

Calculated values
calculated formation energy: -0.197 eV/atom

***

| no. | theoretical density (g cm⁻³) | E_tot (eV per atom) |
| --- | --- | --- |
| 1 | 2.843 | -3.23 |
| 2 | 9.857 | -7.65 |
| 3 | 8.871 | -7.23 |
| 4 | 4.608 | -4.00 |
| 5 | 5.802 | -5.16 |
| 6 | 2.388 | -2.84 |
| 7 | 17.831 | -12.33 |
| 8 | 7.333 | -6.03 |
| 9 | 15.310 | -6.65 |
| 10 | 8.592 | -6.48 |
| 11 | 8.364 | -5.31 |
| 12 | 10.208 | -6.59 |
| 13 | 4.258 | -2.69 |
| 14 | 4.942 | -2.51 |
| 15 | 6.156 | -4.15 |
| 16 | 6.126 | -6.15 |
| 17 | 7.606 | -7.37 |
| 18 | 6.733 | -5.08 |
| 19 | 4.423 | -6.44 |
| 20 | 8.450 | -4.24 |
| 21 | 12.127 | -7.55 |
| 22 | 3.940 | -4.17 |
| 23 | 5.952 | -3.15 |
| 24 | 5.473 | -2.59 |
| 25 | 5.141 | -4.95 |
| 26 | 8.222 | -4.58 |